{"formula": "NaSrAg", "functional": "PBE", "state": "optimized geometry", "relative_energy_ev_per_atom": 0.027, "spacegroup": "Pma2, No. 28", "lattice_angstrom": [[-2.2590, 3.5060, -0.2474], [-2.9448, -1.6353, 3.7220], [5.9836, 4.3242, 6.6342]], "species": ["Sr", "Sr", "Ag", "Ag", "Na", "Na"], "frac_coords": [[0.3113, 0.2160, 0.7217], [0.3114, 0.7161, 0.0712], [0.8124, 0.7166, 0.8158], [0.8125, 0.2167, 0.9771], [0.8110, 0.7158, 0.5002], [0.8110, 0.2159, 0.2926]]}

---

{"formula": "Na4Sr5Ag", "functional": "PBE", "state": "optimized geometry", "spacegroup": "P4/mmm, No. 123", "lattice_angstrom": [[4.2380, 0.0000, 0.0000], [0.0000, 4.2380, 0.0000], [0.0000, 0.0000, 23.3713]], "species": ["Ag", "Na", "Na", "Na", "Na", "Sr", "Sr", "Sr", "Sr", "Sr"], "frac_coords": [[0.0000, 0.0000, 0.0000], [0.0000, 0.0000, 0.1847], [0.0000, 0.0000, 0.6051], [0.0000, 0.0000, 0.3949], [0.0000, 0.0000, 0.8153], [0.5000, 0.5000, 0.0787], [0.5000, 0.5000, 0.2898], [0.5000, 0.5000, 0.9213], [0.5000, 0.5000, 0.7102], [0.5000, 0.5000, 0.5000]]}

---

{"formula": "Na2SrAg2", "functional": "PBE", "state": "optimized geometry", "relative_energy_ev_per_atom": 0.101, "spacegroup": "P4/mbm, No. 127", "lattice_angstrom": [[8.2455, 0.0000, 0.0000], [0.0000, 8.2455, 0.0000], [0.0000, 0.0000, 4.3655]], "species": ["Sr", "Sr", "Ag", "Ag", "Ag", "Ag", "Na", "Na", "Na", "Na"], "frac_coords": [[0.0000, 0.0000, 0.0000], [0.5000, 0.5000, 0.0000], [0.1226, 0.3774, 0.0000], [0.8774, 0.6226, 0.0000], [0.6226, 0.1226, 0.0000], [0.3774, 0.8774, 0.0000], [0.3426, 0.1574, 0.5000], [0.1574, 0.6574, 0.5000], [0.6574, 0.8426, 0.5000], [0.8426, 0.3426, 0.5000]]}

---

The DFT formation energy results, record by record, are as follows: -0.158; -0.027; -0.027 eV/atom.